1.
Below is a relaxed BeRhS2 crystal, with properties calculated at the GGA-PBE level.

The structure in POSCAR format:
```
BeRhS2
1.0
2.101 0.000 6.237
-1.050 1.819 6.237
-1.050 -1.819 6.237
S Be Rh
2 1 1
Direct
0.897 0.897 0.897 S
0.103 0.103 0.103 S
0.000 0.000 0.000 Be
0.500 0.500 0.500 Rh
```

Computed properties:
* spin magnetization: 0.00 μB/atom
* formation energy (no corrections): -0.2253 eV/atom
* symmetry: R-3m
* DOS at the Fermi energy: 2.7 states/eV per cell



2.
Below is a relaxed Be3RhS crystal, with properties calculated at the GGA-PBE level.

The structure in POSCAR format:
```
Be3RhS
1.0
4.193 0.000 0.000
0.000 4.193 0.000
0.000 0.000 4.193
Rh Be S
1 3 1
Direct
0.000 0.000 0.000 Rh
0.500 0.000 0.000 Be
0.000 0.000 0.500 Be
0.000 0.500 0.000 Be
0.500 0.500 0.500 S
```

Computed properties:
* energy relative to the lowest polymorph listed for this composition: 0.045 eV/atom
* spin magnetization: 0.00 μB/atom
* formation energy (no corrections): 0.5650 eV/atom
* symmetry: Pm-3m
* DOS at the Fermi energy: 2.4 states/eV per cell



3.
Below is a relaxed BeRhS3 crystal, with properties calculated at the GGA-PBE level.

The structure in POSCAR format:
```
BeRhS3
1.0
-1.926 3.738 -0.251
-2.914 -1.672 -2.542
-2.355 -0.988 3.350
S Be Rh
3 1 1
Direct
0.000 0.000 0.500 S
0.500 0.000 0.000 S
0.000 0.500 0.000 S
0.000 0.000 0.000 Be
0.500 0.500 0.500 Rh
```

Computed properties:
* energy relative to the lowest polymorph listed for this composition: 0.000 eV/atom
* spin magnetization: 0.00 μB/atom
* formation energy (no corrections): 0.5266 eV/atom
* symmetry: Pm-3m
* DOS at the Fermi energy: 4.3 states/eV per cell



4.
Below is a relaxed Be3RhS crystal, with properties calculated at the GGA-PBE level.

The structure in POSCAR format:
```
Be3RhS
1.0
3.964 0.000 0.000
0.000 3.964 0.000
0.000 0.000 3.964
Be S Rh
3 1 1
Direct
0.000 0.000 0.500 Be
0.500 0.000 0.000 Be
0.000 0.500 0.000 Be
0.000 0.000 0.000 S
0.500 0.500 0.500 Rh
```

Computed properties:
* energy relative to the lowest polymorph listed for this composition: 0.000 eV/atom
* spin magnetization: 0.00 μB/atom
* formation energy (no corrections): 0.5198 eV/atom
* symmetry: Pm-3m
* DOS at the Fermi energy: 2.0 states/eV per cell



5.
Below is a relaxed BeRh3S crystal, with properties calculated at the GGA-PBE level.

The structure in POSCAR format:
```
BeRh3S
1.0
-2.220 -0.761 -3.627
-2.255 -3.078 2.026
-2.941 2.934 1.184
Rh Be S
3 1 1
Direct
0.500 0.000 0.000 Rh
0.000 0.500 0.000 Rh
0.000 0.000 0.500 Rh
0.500 0.500 0.500 Be
0.000 0.000 0.000 S
```

Computed properties:
* energy relative to the lowest polymorph listed for this composition: 0.000 eV/atom
* spin magnetization: 0.00 μB/atom
* formation energy (no corrections): 0.3318 eV/atom
* symmetry: Pm-3m
* DOS at the Fermi energy: 3.9 states/eV per cell



6.
Below is a relaxed BeRhS2 crystal, with properties calculated at the GGA-PBE level.

The structure in POSCAR format:
```
BeRhS2
1.0
3.613 2.061 6.068
2.688 -0.742 6.808
5.223 -0.360 5.169
S Be Rh
2 1 1
Direct
0.105 0.105 0.105 S
0.895 0.895 0.895 S
0.500 0.500 0.500 Be
0.000 0.000 0.000 Rh
```

Computed properties:
* spin magnetization: 0.05 μB/atom
* formation energy (no corrections): -0.1429 eV/atom
* symmetry: R-3m
* DOS at the Fermi energy: 3.2 states/eV per cell



7.
Below is a relaxed BeRh2S crystal, with properties calculated at the GGA-PBE level.

The structure in POSCAR format:
```
BeRh2S
1.0
0.000 2.918 2.918
2.918 0.000 2.918
2.918 2.918 0.000
S Rh Be
1 2 1
Direct
0.500 0.500 0.500 S
0.250 0.250 0.250 Rh
0.750 0.750 0.750 Rh
0.000 0.000 0.000 Be
```

Computed properties:
* energy relative to the lowest polymorph listed for this composition: 0.000 eV/atom
* spin magnetization: 0.29 μB/atom
* formation energy (no corrections): -0.0143 eV/atom
* symmetry: Fm-3m
* DOS at the Fermi energy: 3.4 states/eV per cell



8.
Below is a relaxed BeRhS2 crystal, with properties calculated at the GGA-PBE level.

The structure in POSCAR format:
```
BeRhS2
1.0
-4.944 1.137 -0.500
-1.174 -3.601 3.411
-2.658 2.133 5.147
Be S Rh
2 4 2
Direct
0.250 0.750 0.500 Be
0.500 0.500 0.000 Be
0.590 0.125 0.250 S
0.875 0.840 0.750 S
0.375 0.410 0.750 S
0.160 0.625 0.250 S
0.000 0.000 0.000 Rh
0.750 0.250 0.500 Rh
```

Computed properties:
* spin magnetization: 0.00 μB/atom
* formation energy (no corrections): -0.4724 eV/atom
* symmetry: I-42d
* DOS at the Fermi energy: 5.8 states/eV per cell



9.
Below is a relaxed BeTl2RhS crystal, with properties calculated at the GGA-PBE level.

The structure in POSCAR format:
```
BeTl2RhS
1.0
5.742 0.000 0.000
0.000 3.607 0.000
0.000 0.000 5.742
Rh Tl Be S
1 2 1 1
Direct
0.500 0.500 0.500 Rh
0.000 0.000 0.500 Tl
0.500 0.000 0.000 Tl
0.000 0.500 0.000 Be
0.000 0.000 0.000 S
```

Computed properties:
* spin magnetization: 0.00 μB/atom
* formation energy (no corrections): 0.5300 eV/atom
* symmetry: P4/mmm
* DOS at the Fermi energy: 3.5 states/eV per cell



10.
Below is a relaxed BeSbRh2 crystal, with properties calculated at the GGA-PBE level.

The structure in POSCAR format:
```
BeSbRh2
1.0
-1.379 3.621 -0.997
-2.249 -1.647 -2.870
-7.981 0.108 3.402
Rh Sb Be
4 2 2
Direct
0.165 0.625 0.250 Rh
0.585 0.125 0.250 Rh
0.375 0.415 0.750 Rh
0.875 0.835 0.750 Rh
0.000 0.000 0.000 Sb
0.750 0.250 0.500 Sb
0.500 0.500 0.000 Be
0.250 0.750 0.500 Be
```

Computed properties:
* energy relative to the lowest polymorph listed for this composition: 0.372 eV/atom
* spin magnetization: 0.00 μB/atom
* formation energy (no corrections): 0.0275 eV/atom
* symmetry: I-42d
* DOS at the Fermi energy: 4.7 states/eV per cell



11.
Below is a relaxed BeSb2Rh2 crystal, with properties calculated at the GGA-PBE level.

The structure in POSCAR format:
```
BeSb2Rh2
1.0
6.480 0.000 0.000
0.000 6.480 0.000
0.000 0.000 4.153
Sb Rh Be
4 4 2
Direct
0.163 0.663 0.500 Sb
0.663 0.837 0.500 Sb
0.337 0.163 0.500 Sb
0.837 0.337 0.500 Sb
0.842 0.658 0.000 Rh
0.342 0.842 0.000 Rh
0.158 0.342 0.000 Rh
0.658 0.158 0.000 Rh
0.000 0.000 0.000 Be
0.500 0.500 0.000 Be
```

Computed properties:
* spin magnetization: 0.00 μB/atom
* formation energy (no corrections): -0.0769 eV/atom
* symmetry: P4/mbm
* DOS at the Fermi energy: 3.6 states/eV per cell



12.
Below is a relaxed BeSbRh2 crystal, with properties calculated at the GGA-PBE level.

The structure in POSCAR format:
```
BeSbRh2
1.0
-1.353 -2.631 -0.547
1.771 -1.333 2.034
-4.285 1.258 4.556
Be Sb Rh
1 1 2
Direct
0.500 0.500 0.750 Be
0.500 0.500 0.250 Sb
0.000 0.000 0.966 Rh
0.000 0.000 0.534 Rh
```

Computed properties:
* energy relative to the lowest polymorph listed for this composition: 0.082 eV/atom
* spin magnetization: 0.00 μB/atom
* formation energy (no corrections): -0.2621 eV/atom
* symmetry: P4/mmm
* DOS at the Fermi energy: 3.3 states/eV per cell



13.
Below is a relaxed BeSbRh crystal, with properties calculated at the GGA-PBE level.

The structure in POSCAR format:
```
BeSbRh
1.0
-0.739 3.990 2.545
-3.015 1.716 3.303
1.316 -0.311 3.017
Be Sb Rh
1 1 1
Direct
0.974 0.974 0.026 Be
0.670 0.670 0.330 Sb
0.356 0.356 0.644 Rh
```

Computed properties:
* energy relative to the lowest polymorph listed for this composition: 0.051 eV/atom
* spin magnetization: 0.00 μB/atom
* formation energy (no corrections): -0.1296 eV/atom
* symmetry: I4mm
* DOS at the Fermi energy: 1.6 states/eV per cell



14.
Below is a relaxed BeSbRh3 crystal, with properties calculated at the GGA-PBE level.

The structure in POSCAR format:
```
BeSbRh3
1.0
-3.074 -1.383 3.384
3.230 -3.099 1.668
1.713 3.362 2.929
Rh Be Sb
3 1 1
Direct
0.500 0.000 0.000 Rh
0.000 0.500 0.000 Rh
0.000 0.000 0.500 Rh
0.500 0.500 0.500 Be
0.000 0.000 0.000 Sb
```

Computed properties:
* energy relative to the lowest polymorph listed for this composition: 1.272 eV/atom
* spin magnetization: 0.00 μB/atom
* formation energy (no corrections): 1.1808 eV/atom
* symmetry: Pm-3m
* DOS at the Fermi energy: 1.9 states/eV per cell